a.
VASP calculation (GGA-PBE) on a geometry-optimized Li2In6Hg structure.

Computed properties:
Density of states at the Fermi level: 0.369 states/eV/atom

Unit cell a=14.014 b=4.570 c=7.214 alpha=90.00 beta=111.20 gamma=90.00
Space group C2/m (No. 12)
One atom of each set of equivalent atoms:
Li (0.055, 0.000, 0.314) [4 per cell]
In (0.107, 0.500, 0.659) [4 per cell]
In (0.161, 0.000, 0.996) [4 per cell]
In (0.224, 0.500, 0.337) [4 per cell]
Hg (0.000, 0.500, 0.000) [2 per cell]

---

b.
VASP calculation (GGA-PBE) on a geometry-optimized Li2In6Hg structure.

Computed properties:
Density of states at the Fermi level: 0.405 states/eV/atom

Unit cell a=14.752 b=10.938 c=5.524 alpha=90.00 beta=104.37 gamma=90.00
Space group C2/c (No. 15)
One atom of each set of equivalent atoms:
Li (0.166, 0.124, 0.084) [8 per cell]
In (0.053, 0.125, 0.530) [8 per cell]
In (0.117, 0.372, 0.813) [8 per cell]
In (0.231, 0.375, 0.362) [8 per cell]
Hg (0.000, 0.380, 0.250) [4 per cell]

---

a is the most stable structure; the next one sits 23 meV/atom above it.

---

a.
VASP calculation (GGA-PBE) on a geometry-optimized Li2InHg8 structure.

Computed properties:
Density of states at the Fermi level: 0.274 states/eV/atom

Unit cell a=5.191 b=7.669 c=7.886 alpha=113.91 beta=108.15 gamma=96.60
Space group P-1 (No. 2)
One atom of each set of equivalent atoms:
Li (0.243, 0.345, 0.053) [2 per cell]
In (0.000, 0.000, 0.500) [1 per cell]
Hg (0.137, 0.466, 0.729) [2 per cell]
Hg (0.167, 0.915, 0.865) [2 per cell]
Hg (0.366, 0.781, 0.209) [2 per cell]
Hg (0.487, 0.277, 0.406) [2 per cell]

---

b.
VASP calculation (GGA-PBE) on a geometry-optimized Li2InHg8 structure.

Computed properties:
Density of states at the Fermi level: 0.395 states/eV/atom

Unit cell a=9.095 b=11.850 c=5.177 alpha=90.00 beta=102.90 gamma=90.00
Space group C2/m (No. 12)
One atom of each set of equivalent atoms:
Li (0.000, 0.145, 0.000) [4 per cell]
In (0.000, 0.500, 0.500) [2 per cell]
Hg (0.000, 0.242, 0.500) [4 per cell]
Hg (0.152, 0.000, 0.399) [4 per cell]
Hg (0.182, 0.365, 0.069) [8 per cell]

---

a is the most stable structure; the next one sits 14 meV/atom above it.

---

a.
VASP calculation (GGA-PBE) on a geometry-optimized LiIn3Hg4 structure.

Computed properties:
Density of states at the Fermi level: 0.424 states/eV/atom

Unit cell a=3.381 b=3.381 c=16.904 alpha=90.00 beta=90.00 gamma=90.00
Space group P4/mmm (No. 123)
One atom of each set of equivalent atoms:
Li (0.000, 0.000, 0.000) [1 per cell]
In (0.000, 0.000, 0.230) [2 per cell]
In (0.000, 0.000, 0.500) [1 per cell]
Hg (0.500, 0.500, 0.098) [2 per cell]
Hg (0.500, 0.500, 0.364) [2 per cell]

---

b.
VASP calculation (GGA-PBE) on a geometry-optimized LiIn3Hg4 structure.

Computed properties:
Density of states at the Fermi level: 0.403 states/eV/atom

Unit cell a=10.039 b=12.035 c=3.478 alpha=90.00 beta=90.00 gamma=90.00
Space group Cmmm (No. 65)
One atom of each set of equivalent atoms:
Li (0.000, 0.000, 0.000) [2 per cell]
In (0.000, 0.500, 0.000) [2 per cell]
In (0.250, 0.250, 0.500) [4 per cell]
Hg (0.000, 0.246, 0.000) [4 per cell]
Hg (0.232, 0.000, 0.500) [4 per cell]

---

a is the most stable structure; the next one sits 45 meV/atom above it.

---

a.
VASP calculation (GGA-PBE) on a geometry-optimized LiIn4Hg4 structure.

Computed properties:
Density of states at the Fermi level: 0.333 states/eV/atom

Unit cell a=11.589 b=11.589 c=3.356 alpha=90.00 beta=90.00 gamma=90.00
Space group I4/m (No. 87)
One atom of each set of equivalent atoms:
Li (0.000, 0.000, 0.000) [2 per cell]
In (0.061, 0.337, 0.000) [8 per cell]
Hg (0.127, 0.833, 0.500) [8 per cell]

---

b.
VASP calculation (GGA-PBE) on a geometry-optimized LiIn4Hg4 structure.

Computed properties:
Density of states at the Fermi level: 0.352 states/eV/atom

Unit cell a=9.026 b=9.026 c=5.700 alpha=90.00 beta=90.00 gamma=90.00
Space group I4/m (No. 87)
One atom of each set of equivalent atoms:
Li (0.000, 0.000, 0.000) [2 per cell]
In (0.122, 0.211, 0.500) [8 per cell]
Hg (0.039, 0.324, 0.000) [8 per cell]

---

a is the most stable structure; the next one sits 26 meV/atom above it.

---

a.
VASP calculation (GGA-PBE) on a geometry-optimized LiIn2Hg7 structure.

Computed properties:
Density of states at the Fermi level: 0.361 states/eV/atom

Unit cell a=16.485 b=6.658 c=10.400 alpha=90.00 beta=117.58 gamma=90.00
Space group C2/c (No. 15)
One atom of each set of equivalent atoms:
Li (0.000, 0.107, 0.250) [4 per cell]
In (0.200, 0.416, 0.322) [8 per cell]
Hg (0.000, 0.391, 0.750) [4 per cell]
Hg (0.086, 0.153, 0.050) [8 per cell]
Hg (0.109, 0.334, 0.527) [8 per cell]
Hg (0.186, 0.094, 0.857) [8 per cell]

---

b.
VASP calculation (GGA-PBE) on a geometry-optimized LiIn2Hg7 structure.

Computed properties:
Density of states at the Fermi level: 0.254 states/eV/atom

Unit cell a=5.0789 b=5.0789 c=12.1001 alpha=90.00 beta=90.00 gamma=120.00
Space group P3m1 (No. 156)
One atom of each set of equivalent atoms:
Li (0.0000, 0.0000, 0.0000) [1 per cell]
In (0.3333, 0.6667, 0.6725) [1 per cell]
In (0.6667, 0.3333, 0.3491) [1 per cell]
Hg (0.0000, 0.0000, 0.2385) [1 per cell]
Hg (0.0000, 0.0000, 0.7630) [1 per cell]
Hg (0.3333, 0.6667, 0.4159) [1 per cell]
Hg (0.3333, 0.6667, 0.9920) [1 per cell]
Hg (0.6667, 0.3333, 0.1057) [1 per cell]
Hg (0.6667, 0.3333, 0.5915) [1 per cell]
Hg (0.6667, 0.3333, 0.8591) [1 per cell]

---

a is the most stable structure; the next one sits 19 meV/atom above it.

---

a.
VASP calculation (GGA-PBE) on a geometry-optimized LiIn6Hg2 structure.

Computed properties:
Density of states at the Fermi level: 0.358 states/eV/atom

Unit cell a=11.943 b=11.080 c=8.122 alpha=90.00 beta=121.10 gamma=90.00
Space group C2/c (No. 15)
One atom of each set of equivalent atoms:
Li (0.000, 0.174, 0.250) [4 per cell]
In (0.038, 0.367, 0.976) [8 per cell]
In (0.097, 0.094, 0.676) [8 per cell]
In (0.231, 0.146, 0.136) [8 per cell]
Hg (0.190, 0.383, 0.433) [8 per cell]

---

b.
VASP calculation (GGA-PBE) on a geometry-optimized LiIn6Hg2 structure.

Computed properties:
Density of states at the Fermi level: 0.312 states/eV/atom

Unit cell a=3.3120 b=3.3120 c=24.4243 alpha=90.00 beta=90.00 gamma=120.00
Space group P-6m2 (No. 187)
One atom of each set of equivalent atoms:
Li (0.0000, 0.0000, 0.0000) [1 per cell]
In (0.0000, 0.0000, 0.2055) [2 per cell]
In (0.0000, 0.0000, 0.4345) [2 per cell]
In (0.3333, 0.6667, 0.0949) [2 per cell]
Hg (0.3333, 0.6667, 0.3204) [2 per cell]

---

a is the most stable structure; the next one sits 24 meV/atom above it.

---

a.
VASP calculation (GGA-PBE) on a geometry-optimized LiIn3Hg5 structure.

Computed properties:
Density of states at the Fermi level: 0.203 states/eV/atom

Unit cell a=8.9559 b=8.9559 c=6.5290 alpha=90.00 beta=90.00 gamma=120.00
Space group P6_3/mcm (No. 193)
One atom of each set of equivalent atoms:
Li (0.0000, 0.0000, 0.0000) [2 per cell]
In (0.0000, 0.3795, 0.2500) [6 per cell]
Hg (0.0000, 0.2728, 0.7500) [6 per cell]
Hg (0.3333, 0.6667, 0.0000) [4 per cell]

---

b.
VASP calculation (GGA-PBE) on a geometry-optimized LiIn3Hg5 structure.

Computed properties:
Density of states at the Fermi level: 0.320 states/eV/atom

Unit cell a=7.713 b=7.713 c=15.933 alpha=90.00 beta=90.00 gamma=90.00
Space group I4/mcm (No. 140)
One atom of each set of equivalent atoms:
Li (0.000, 0.500, 0.250) [4 per cell]
In (0.000, 0.000, 0.250) [4 per cell]
In (0.133, 0.367, 0.000) [8 per cell]
Hg (0.000, 0.000, 0.000) [4 per cell]
Hg (0.201, 0.299, 0.353) [16 per cell]

---

a is the most stable structure; the next one sits 36 meV/atom above it.

---

a.
VASP calculation (GGA-PBE) on a geometry-optimized LiIn3Hg3 structure.

Computed properties:
Density of states at the Fermi level: 0.311 states/eV/atom

Unit cell a=10.0185 b=10.0185 c=6.1357 alpha=90.00 beta=90.00 gamma=120.00
Space group R3m (No. 160, hexagonal axes)
One atom of each set of equivalent atoms:
Li (0.0000, 0.0000, 0.0000) [3 per cell]
In (0.1050, 0.5525, 0.0670) [9 per cell]
Hg (0.0340, 0.5170, 0.5292) [9 per cell]

---

b.
VASP calculation (GGA-PBE) on a geometry-optimized LiIn3Hg3 structure.

Computed properties:
Density of states at the Fermi level: 0.626 states/eV/atom

Unit cell a=8.077 b=8.077 c=8.077 alpha=90.00 beta=90.00 gamma=90.00
Space group Pm-3n (No. 223)
One atom of each set of equivalent atoms:
Li (0.000, 0.000, 0.000) [2 per cell]
In (0.000, 0.250, 0.500) [6 per cell]
Hg (0.000, 0.500, 0.250) [6 per cell]

---

a is the most stable structure; the next one sits 296 meV/atom above it.